Entry 1:
Entry from Alexandria: a geometry-optimized HfMg2CrSe structure (PBE-GGA).

Lattice parameters (Å, degrees): 4.8929 4.8929 4.4473 90.00 90.00 90.00
Closest atoms and distances in Å follow each position.
Sites, in units of the cell vectors:
Hf  0.0000  0.0000  0.0000  8 Mg 3.31, 4 Cr 3.46
Mg  0.0000  0.5000  0.5000  2 Se 2.45
Mg  0.5000  0.0000  0.5000  2 Se 2.45
Cr  0.5000  0.5000  0.0000  2 Se 2.22
Se  0.5000  0.5000  0.5000  2 Cr 2.22, 4 Mg 2.45

Raw formation energy   0.66 eV/atom
SG   P4/mmm

Entry 2:
Entry from Alexandria: a geometry-optimized HPd3Pt structure (PBE-GGA).

Lattice parameters (Å, degrees): 4.7903 7.7936 7.6335 90.00 90.00 90.00
Closest atoms and distances in Å follow each position.
Sites, in units of the cell vectors:
H  0.2030  0.2500  0.0548  3 Pd 1.76-1.83
H  0.2970  0.7500  0.5548  3 Pd 1.76-1.83
H  0.7030  0.2500  0.4452  3 Pd 1.76-1.83
H  0.7970  0.7500  0.9452  3 Pd 1.76-1.83
Pd  0.0098  0.0748  0.1600  1 H 1.83
Pd  0.0098  0.4252  0.1600  1 H 1.83
Pd  0.2246  0.2500  0.8253  1 H 1.76
Pd  0.2754  0.7500  0.3253  1 H 1.76
Pd  0.4902  0.5748  0.6600  1 H 1.83
Pd  0.4902  0.9252  0.6600  1 H 1.83
Pd  0.5098  0.0748  0.3400  1 H 1.83
Pd  0.5098  0.4252  0.3400  1 H 1.83
Pd  0.7246  0.2500  0.6747  1 H 1.76
Pd  0.7754  0.7500  0.1747  1 H 1.76
Pd  0.9902  0.5748  0.8400  1 H 1.83
Pd  0.9902  0.9252  0.8400  1 H 1.83
Pt  0.0000  0.0000  0.5000  2 H 2.45, 6 Pd 2.66-2.71
Pt  0.0000  0.5000  0.5000  2 H 2.45, 6 Pd 2.66-2.71
Pt  0.5000  0.0000  0.0000  2 H 2.45, 6 Pd 2.66-2.71
Pt  0.5000  0.5000  0.0000  2 H 2.45, 6 Pd 2.66-2.71

ΔE to the lowest computed polymorph   217.1 meV per atom
SG   Pnma

Entry 3:
Entry from Alexandria: a geometry-optimized EuCdGeAu structure (PBE-GGA).

Lattice parameters (Å, degrees): 5.0242 5.0242 5.0242 60.00 60.00 60.00
Closest atoms and distances in Å follow each position.
Sites, in units of the cell vectors:
Eu  0.0000  0.0000  0.0000  4 Au 3.08, 4 Ge 3.08
Cd  0.5000  0.5000  0.5000  4 Au 3.08, 4 Ge 3.08
Ge  0.2500  0.2500  0.2500  4 Cd 3.08, 4 Eu 3.08
Au  0.7500  0.7500  0.7500  4 Cd 3.08, 4 Eu 3.08

SG   F-43m
Formation enthalpy at 0 K   -0.424 eV/atom

Entry 4:
Entry from Alexandria: a geometry-optimized Ta2CdHg structure (PBE-GGA).

Lattice parameters (Å, degrees): 2.9371 2.9371 9.5379 90.00 90.00 106.04
Closest atoms and distances in Å follow each position.
Sites, in units of the cell vectors:
Ta  0.0000  0.0000  0.0000  6 Ta 2.80-2.94, 2 Cd 2.99
Ta  0.5000  0.5000  0.2271  6 Ta 2.80-2.94, 2 Hg 2.98
Cd  0.5000  0.5000  0.7469  4 Cd 2.94, 2 Ta 2.99, 2 Hg 3.11
Hg  0.0000  0.0000  0.4791  4 Hg 2.94, 2 Ta 2.98, 2 Cd 3.11

ΔE to the lowest computed polymorph   0.0 meV per atom
SG   Cmm2
Formation enthalpy at 0 K   0.167 eV/atom

Entry 5:
Entry from Alexandria: a geometry-optimized LaSmRuPt structure (PBE-GGA).

Lattice parameters (Å, degrees): 5.0448 5.0448 5.0448 60.00 60.00 60.00
Closest atoms and distances in Å follow each position.
Sites, in units of the cell vectors:
La  0.0000  0.0000  0.0000  4 Ru 3.09, 4 Pt 3.09
Sm  0.5000  0.5000  0.5000  4 Pt 3.09, 4 Ru 3.09
Ru  0.2500  0.2500  0.2500  4 Sm 3.09, 4 La 3.09
Pt  0.7500  0.7500  0.7500  4 Sm 3.09, 4 La 3.09

SG   F-43m
Formation enthalpy at 0 K   -0.591 eV/atom

Entry 6:
Entry from Alexandria: a geometry-optimized La4OsRuCl2 structure (PBE-GGA).

Lattice parameters (Å, degrees): 7.2174 4.1661 7.9568 90.00 107.62 90.00
Closest atoms and distances in Å follow each position.
Sites, in units of the cell vectors:
La  0.2354  0.0000  0.2029  1 Os 2.85, 2 Ru 2.86
La  0.2652  0.5000  0.7961  1 Ru 2.86, 2 Os 2.86
La  0.7348  0.5000  0.2039  1 Ru 2.86, 2 Os 2.86
La  0.7646  0.0000  0.7971  1 Os 2.85, 2 Ru 2.86
Os  0.5000  0.0000  0.0000  6 La 2.85-2.86
Ru  0.0000  0.5000  0.0000  6 La 2.86
Cl  0.0000  0.0000  0.5000  6 La 3.29-3.30
Cl  0.5000  0.5000  0.5000  6 La 3.29

Raw formation energy   -0.96 eV/atom
SG   P2/m

Entry 7:
Entry from Alexandria: a geometry-optimized Ac3IrSeN structure (PBE-GGA).

Lattice parameters (Å, degrees): 9.2029 4.2759 9.8393 90.00 101.06 90.00
Closest atoms and distances in Å follow each position.
Sites, in units of the cell vectors:
Ac  0.0775  0.2500  0.3533  3 Ir 2.91-3.00
Ac  0.3270  0.2500  0.9863  3 N 2.42-2.50
Ac  0.3832  0.7500  0.6553  1 N 2.37
Ac  0.6168  0.2500  0.3447  1 N 2.37
Ac  0.6730  0.7500  0.0137  3 N 2.42-2.50
Ac  0.9225  0.7500  0.6467  3 Ir 2.91-3.00
Ir  0.1524  0.2500  0.6548  5 Ac 2.91-3.01
Ir  0.8476  0.7500  0.3452  5 Ac 2.91-3.01
Se  0.3304  0.7500  0.2897  7 Ac 3.31-3.67
Se  0.6696  0.2500  0.7103  7 Ac 3.31-3.67
N  0.4154  0.7500  0.8997  4 Ac 2.37-2.50
N  0.5846  0.2500  0.1003  4 Ac 2.37-2.50

Raw formation energy   -1.15 eV/atom
SG   P2_1/m

Entry 8:
Entry from Alexandria: a geometry-optimized TlRe2W structure (PBE-GGA).

Lattice parameters (Å, degrees): 4.5681 4.5681 4.5681 60.00 60.00 60.00
Closest atoms and distances in Å follow each position.
Sites, in units of the cell vectors:
Tl  0.0000  0.0000  0.0000  4 W 2.80, 4 Re 2.80
Re  0.2500  0.2500  0.2500  4 Tl 2.80, 4 Re 2.80
Re  0.5000  0.5000  0.5000  4 W 2.80, 4 Re 2.80
W  0.7500  0.7500  0.7500  4 Tl 2.80, 4 Re 2.80

ΔE to the lowest computed polymorph   406.7 meV per atom
SG   F-43m
Formation enthalpy at 0 K   0.972 eV/atom

Entry 9:
Entry from Alexandria: a geometry-optimized LaPrCuPd structure (PBE-GGA).

Lattice parameters (Å, degrees): 4.6243 5.8771 5.8771 39.32 90.00 90.00
Closest atoms and distances in Å follow each position.
Sites, in units of the cell vectors:
La  0.0000  0.0000  0.0000  3 Cu 3.08-3.18, 4 Pd 3.12
Pr  0.5000  0.2752  0.2752  3 Pd 3.08-3.18, 4 Cu 3.12
Cu  0.0000  0.7128  0.7128  2 Pd 2.85, 3 La 3.08-3.18, 4 Pr 3.12
Pd  0.5000  0.5624  0.5624  2 Cu 2.85, 3 Pr 3.08-3.18, 4 La 3.12

ΔE to the lowest computed polymorph   0.0 meV per atom
SG   Amm2
Formation enthalpy at 0 K   -0.485 eV/atom

Entry 10:
Entry from Alexandria: a geometry-optimized LaMg2 structure (PBE-GGA).

Lattice parameters (Å, degrees): 7.7120 7.7120 5.0959 90.00 90.00 120.00
Closest atoms and distances in Å follow each position.
Sites, in units of the cell vectors:
La  0.0000  0.5686  0.0000  7 Mg 3.33-3.63
La  0.4314  0.4314  0.0000  7 Mg 3.33-3.63
La  0.5686  0.0000  0.0000  7 Mg 3.33-3.63
Mg  0.0000  0.0000  0.0000  6 Mg 3.12, 3 La 3.33
Mg  0.0000  0.2328  0.5000  6 Mg 3.03-3.12
Mg  0.2328  0.0000  0.5000  6 Mg 3.03-3.12
Mg  0.3333  0.6667  0.5000  3 Mg 3.03
Mg  0.6667  0.3333  0.5000  3 Mg 3.03
Mg  0.7672  0.7672  0.5000  6 Mg 3.03-3.12

SG   P-62m
Formation enthalpy at 0 K   -0.068 eV/atom

Entry 11:
Entry from Alexandria: a geometry-optimized RbCrAgSe3 structure (PBE-GGA).

Lattice parameters (Å, degrees): 8.6830 3.8255 10.1485 90.00 113.73 90.00
Closest atoms and distances in Å follow each position.
Sites, in units of the cell vectors:
Rb  0.2427  0.2500  0.2701  8 Se 3.48-3.89, 2 Ag 3.82, 2 Rb 3.83
Rb  0.7573  0.7500  0.7299  8 Se 3.48-3.89, 2 Ag 3.82, 2 Rb 3.83
Cr  0.3213  0.7500  0.8526  6 Se 2.55-2.58
Cr  0.6787  0.2500  0.1474  6 Se 2.55-2.58
Ag  0.0612  0.2500  0.6123  4 Se 2.56-2.76, 2 Ag 2.83
Ag  0.9388  0.7500  0.3877  4 Se 2.56-2.76, 2 Ag 2.83
Se  0.1397  0.2500  0.8839  1 Ag 2.56, 2 Cr 2.58
Se  0.2688  0.7500  0.5861  1 Cr 2.56, 3 Ag 2.71-2.76
Se  0.4723  0.7500  0.1258  3 Cr 2.55-2.57
Se  0.5277  0.2500  0.8742  3 Cr 2.55-2.57
Se  0.7312  0.2500  0.4139  1 Cr 2.56, 3 Ag 2.71-2.76
Se  0.8603  0.7500  0.1161  1 Ag 2.56, 2 Cr 2.58

Raw formation energy   -0.56 eV/atom
SG   P2_1/m

Entry 12:
Entry from Alexandria: a geometry-optimized YTaP2F structure (PBE-GGA).

Lattice parameters (Å, degrees): 4.7851 4.7851 4.0129 90.00 90.00 90.00
Closest atoms and distances in Å follow each position.
Sites, in units of the cell vectors:
Y  0.0000  0.0000  0.0000  2 F 2.01
Ta  0.5000  0.5000  0.0000  8 P 3.12, 4 Y 3.38
P  0.0000  0.5000  0.5000  2 F 2.39
P  0.5000  0.0000  0.5000  2 F 2.39
F  0.0000  0.0000  0.5000  2 Y 2.01

Raw formation energy   -0.17 eV/atom
SG   P4/mmm

| no. | calculated total energy (eV/atom) |
| --- | --- |
| 1 | -4.588 |
| 2 | -4.813 |
| 3 | -5.195 |
| 4 | -6.063 |
| 5 | -6.831 |
| 6 | -6.449 |
| 7 | -6.651 |
| 8 | -9.082 |
| 9 | -5.234 |
| 10 | -2.774 |
| 11 | -4.538 |
| 12 | -6.367 |